MnCo2Mo | PBE-GGA | relaxed

Structure (POSCAR):
```
MnCo2Mo
1.0
3.603 0.000 0.000
0.000 3.603 0.000
0.000 0.000 7.473
Mn Co Mo
2 4 2
direct
0.000 0.000 0.000
0.500 0.500 0.500
0.000 0.000 0.500
0.000 0.500 0.750
0.500 0.000 0.250
0.500 0.500 0.000
0.000 0.500 0.250
0.500 0.000 0.750
```

- Formation enthalpy at 0 K: 0.054 eV per atom
- Polymorph energy (0 for the lowest one): 61 meV per atom


CeCoSi2 | PBE-GGA | relaxed

Structure (POSCAR):
```
CeCoSi2
1.0
6.679 0.000 0.000
0.000 4.000 0.000
0.000 0.000 9.999
Ce Co Si
4 4 8
direct
0.160 0.250 0.124
0.340 0.750 0.624
0.660 0.250 0.376
0.840 0.750 0.876
0.004 0.750 0.386
0.496 0.250 0.886
0.504 0.750 0.114
0.996 0.250 0.614
0.159 0.250 0.817
0.185 0.250 0.422
0.315 0.750 0.922
0.341 0.750 0.317
0.659 0.250 0.683
0.685 0.250 0.078
0.815 0.750 0.578
0.841 0.750 0.183
```

- Uncorrected formation energy: -3.00 eV/f.u.


TbNdPt6 | PBE-GGA | relaxed

Structure (POSCAR):
```
TbNdPt6
1.0
5.354 0.000 0.000
0.000 5.354 0.000
0.000 0.000 5.354
Tb Nd Pt
1 1 6
direct
0.000 0.000 0.000
0.500 0.500 0.500
0.000 0.500 0.248
0.000 0.500 0.752
0.248 0.000 0.500
0.500 0.248 0.000
0.500 0.752 0.000
0.752 0.000 0.500
```

- Formation enthalpy at 0 K: -0.610 eV per atom